1.
Material: CsGaMo2
Method: DFT, PBE-GGA
State: optimized geometry

```
CsGaMo2
1.0
8.0092 0.0000 0.0000
0.0000 8.0092 0.0000
4.0046 4.0046 2.8019
Cs Mo Ga
2 4 2
direct
0.7500 0.2500 0.5000
0.0000 0.0000 0.0000
0.5669 0.1250 0.2500
0.8750 0.8169 0.7500
0.1831 0.6250 0.2500
0.3750 0.4331 0.7500
0.5000 0.5000 0.0000
0.2500 0.7500 0.5000
```

Summary:
DFT total energy ... -4.5931 eV per atom
ΔH_f (0 K) ... 1.79 eV/atom

***

2.
Material: GeIBr
Method: DFT, PBE-GGA
State: optimized geometry

```
GeIBr
1.0
-1.6594 -3.5507 -3.3367
2.9438 -1.3455 -4.0023
2.2087 -4.6477 -0.1228
Ge I Br
1 1 1
direct
0.2500 0.2500 0.2500
0.5000 0.5000 0.5000
0.0000 0.0000 0.0000
```

Summary:
DFT total energy ... -2.8001 eV per atom
Formation energy without anion corrections ... -187 meV/atom

***

3.
Material: MgTcSnH
Method: DFT, PBE-GGA
State: optimized geometry

```
MgTcSnH
1.0
4.7198 0.0000 0.0000
0.0000 3.1181 0.0000
0.0000 0.0000 8.1338
Sn H Mg Tc
2 2 2 2
direct
0.5000 0.5000 0.4166
0.0000 0.0000 0.9166
0.5000 0.5000 0.8233
0.0000 0.0000 0.3233
0.0000 0.5000 0.6035
0.5000 0.0000 0.1035
0.5000 0.0000 0.7121
0.0000 0.5000 0.2121
```

Summary:
DFT total energy ... -4.7634 eV per atom

***

Question: Look up the DFT total energy of the first one.
Answer: -4.5931 eV per atom

***

Question: Look up the DFT total energy of the third one.
Answer: -4.7634 eV per atom

***

Question: What is the DFT total energy in the second record?
Answer: -2.8001 eV per atom

***

Question: What is the DFT total energy in the second record?
Answer: -2.8001 eV per atom